No. 1
{
  "formula": "YScSb",
  "functional": "GGA-PBE",
  "state": "relaxed",
  "lattice": [[4.346, 0.000, 0.000], [0.000, 4.346, 0.000], [0.000, 0.000, 8.190]],
  "species": ["Y", "Y", "Sc", "Sc", "Sb", "Sb"],
  "fractional_positions": [[0.250, 0.250, 0.151], [0.750, 0.750, 0.849], [0.250, 0.750, 0.500], [0.750, 0.250, 0.500], [0.250, 0.250, 0.765], [0.750, 0.750, 0.235]],
  "spacegroup": "P4/nmm, No. 129",
  "raw_formation_energy_mev_per_atom": -882,
  "magmom_total_mub_per_cell": 0.5
}



No. 2
{
  "formula": "Ca2Ag15Pd2",
  "functional": "GGA-PBE",
  "state": "relaxed",
  "lattice": [[4.800, 2.771, 4.716], [-4.800, 2.771, 4.716], [0.000, -5.543, 4.716]],
  "species": ["Ca", "Ca", "Ag", "Ag", "Ag", "Ag", "Ag", "Ag", "Ag", "Ag", "Ag", "Ag", "Ag", "Ag", "Ag", "Ag", "Ag", "Pd", "Pd"],
  "fractional_positions": [[0.177, 0.177, 0.177], [0.823, 0.823, 0.823], [0.000, 0.500, 0.500], [0.149, 0.149, 0.652], [0.149, 0.652, 0.149], [0.204, 0.500, 0.796], [0.204, 0.796, 0.500], [0.348, 0.851, 0.851], [0.500, 0.000, 0.500], [0.500, 0.204, 0.796], [0.500, 0.500, 0.000], [0.500, 0.796, 0.204], [0.652, 0.149, 0.149], [0.796, 0.204, 0.500], [0.796, 0.500, 0.204], [0.851, 0.348, 0.851], [0.851, 0.851, 0.348], [0.400, 0.400, 0.400], [0.600, 0.600, 0.600]],
  "spacegroup": "R-3m, No. 166",
  "final_energy_ev_per_atom": -3.10,
  "magmom_total_mub_per_cell": 0.0
}



No. 3
{
  "formula": "Er2Al3Os",
  "functional": "GGA-PBE",
  "state": "relaxed",
  "lattice": [[2.720, 1.570, 4.408], [-2.720, 1.570, 4.408], [0.000, -3.140, 4.408]],
  "species": ["Er", "Er", "Al", "Al", "Al", "Os"],
  "fractional_positions": [[0.128, 0.128, 0.128], [0.872, 0.872, 0.872], [0.000, 0.500, 0.500], [0.500, 0.000, 0.500], [0.500, 0.500, 0.000], [0.500, 0.500, 0.500]],
  "spacegroup": "R-3m, No. 166",
  "final_energy_ev_per_atom": -5.79,
  "magmom_total_mub_per_cell": 0.0
}



No. 4
{
  "formula": "Er12Ni6Au",
  "functional": "GGA-PBE",
  "state": "relaxed",
  "lattice": [[6.347, 3.664, 3.463], [-6.347, 3.664, 3.463], [0.000, -7.329, 3.463]],
  "species": ["Er", "Er", "Er", "Er", "Er", "Er", "Er", "Er", "Er", "Er", "Er", "Er", "Ni", "Ni", "Ni", "Ni", "Ni", "Ni", "Au"],
  "fractional_positions": [[0.072, 0.668, 0.923], [0.077, 0.928, 0.332], [0.171, 0.412, 0.556], [0.332, 0.077, 0.928], [0.412, 0.556, 0.171], [0.444, 0.829, 0.588], [0.556, 0.171, 0.412], [0.588, 0.444, 0.829], [0.668, 0.923, 0.072], [0.829, 0.588, 0.444], [0.923, 0.072, 0.668], [0.928, 0.332, 0.077], [0.145, 0.617, 0.314], [0.314, 0.145, 0.617], [0.383, 0.686, 0.855], [0.617, 0.314, 0.145], [0.686, 0.855, 0.383], [0.855, 0.383, 0.686], [0.000, 0.000, 0.000]],
  "spacegroup": "R-3, No. 148",
  "de_polymorph_mev_per_atom": 160,
  "magmom_total_mub_per_cell": 0.0
}



No. 5
{
  "formula": "Ac8Ni3OsBr4",
  "functional": "GGA-PBE",
  "state": "relaxed",
  "lattice": [[7.477, -4.319, 0.000], [7.477, 4.319, 0.000], [-4.992, 0.000, 8.262]],
  "species": ["Ac", "Ac", "Ac", "Ac", "Ac", "Ac", "Ac", "Ac", "Ni", "Ni", "Ni", "Os", "Br", "Br", "Br", "Br"],
  "fractional_positions": [[0.230, 0.230, 0.694], [0.230, 0.734, 0.694], [0.266, 0.770, 0.306], [0.270, 0.270, 0.309], [0.730, 0.730, 0.691], [0.734, 0.230, 0.694], [0.770, 0.266, 0.306], [0.770, 0.770, 0.306], [0.000, 0.500, 0.500], [0.500, 0.000, 0.500], [0.500, 0.500, 0.500], [0.000, 0.000, 0.500], [0.000, 0.000, 0.000], [0.000, 0.500, 0.000], [0.500, 0.000, 0.000], [0.500, 0.500, 0.000]],
  "spacegroup": "C2/m, No. 12",
  "raw_formation_energy_mev_per_atom": -846,
  "magmom_total_mub_per_cell": 0.0
}



No. 6
{
  "formula": "TiZnO2",
  "functional": "GGA-PBE",
  "state": "relaxed",
  "lattice": [[1.467, 0.847, 7.090], [-1.467, 0.847, 7.090], [0.000, -1.694, 7.090]],
  "species": ["Ti", "Zn", "O", "O"],
  "fractional_positions": [[0.000, 0.000, 0.000], [0.500, 0.500, 0.500], [0.383, 0.383, 0.383], [0.617, 0.617, 0.617]],
  "spacegroup": "R-3m, No. 166",
  "raw_formation_energy_mev_per_atom": -2095,
  "magmom_total_mub_per_cell": 0.0
}



No. 7
{
  "formula": "Pm2Nd4Er2Tm",
  "functional": "GGA-PBE",
  "state": "relaxed",
  "lattice": [[7.689, -2.562, 0.000], [7.689, 2.562, 0.000], [-2.569, 0.000, 7.630]],
  "species": ["Pm", "Pm", "Nd", "Nd", "Nd", "Nd", "Er", "Er", "Tm"],
  "fractional_positions": [[0.112, 0.112, 0.170], [0.888, 0.888, 0.830], [0.222, 0.222, 0.830], [0.445, 0.445, 0.170], [0.555, 0.555, 0.830], [0.778, 0.778, 0.170], [0.333, 0.333, 0.500], [0.667, 0.667, 0.500], [0.000, 0.000, 0.500]],
  "spacegroup": "C2/m, No. 12",
  "final_energy_ev_per_atom": -4.66,
  "magmom_total_mub_per_cell": 0.0
}



No. 8
{
  "formula": "BeOs2Rh",
  "functional": "GGA-PBE",
  "state": "relaxed",
  "lattice": [[2.715, 0.000, 0.000], [0.000, 3.901, 0.000], [-1.347, 0.000, 4.932]],
  "species": ["Be", "Os", "Os", "Rh"],
  "fractional_positions": [[0.000, 0.000, 0.000], [0.231, 0.000, 0.476], [0.608, 0.500, 0.228], [0.874, 0.500, 0.762]],
  "spacegroup": "Pm, No. 6",
  "final_energy_ev_per_atom": -8.38,
  "magmom_total_mub_per_cell": 0.0
}



No. 9
{
  "formula": "Ba2MgAuN",
  "functional": "GGA-PBE",
  "state": "relaxed",
  "lattice": [[5.789, 0.000, 0.000], [0.000, 5.789, 0.000], [0.000, 0.000, 4.133]],
  "species": ["Ba", "Ba", "Mg", "Au", "N"],
  "fractional_positions": [[0.000, 0.500, 0.000], [0.500, 0.000, 0.000], [0.000, 0.000, 0.500], [0.500, 0.500, 0.500], [0.000, 0.000, 0.000]],
  "spacegroup": "P4/mmm, No. 123",
  "raw_formation_energy_mev_per_atom": -465,
  "de_polymorph_mev_per_atom": 0,
  "magmom_total_mub_per_cell": 0.0
}



No. 10
{
  "formula": "CaGa2Au8",
  "functional": "GGA-PBE",
  "state": "relaxed",
  "lattice": [[5.593, 0.000, 0.000], [0.000, 5.593, 0.000], [0.000, 0.000, 8.332]],
  "species": ["Ca", "Ga", "Ga", "Au", "Au", "Au", "Au", "Au", "Au", "Au", "Au"],
  "fractional_positions": [[0.000, 0.000, 0.000], [0.000, 0.500, 0.500], [0.500, 0.000, 0.500], [0.253, 0.253, 0.282], [0.253, 0.253, 0.718], [0.253, 0.747, 0.282], [0.253, 0.747, 0.718], [0.747, 0.253, 0.282], [0.747, 0.253, 0.718], [0.747, 0.747, 0.282], [0.747, 0.747, 0.718]],
  "spacegroup": "P4/mmm, No. 123",
  "de_polymorph_mev_per_atom": 125,
  "magmom_total_mub_per_cell": 0.0
}



No. 11
{
  "formula": "NaRu3O12",
  "functional": "GGA-PBE",
  "state": "relaxed",
  "lattice": [[4.789, 2.765, 8.357], [-4.789, 2.765, 8.357], [0.000, -5.530, 8.357]],
  "species": ["Na", "Na", "Ru", "Ru", "Ru", "Ru", "Ru", "Ru", "O", "O", "O", "O", "O", "O", "O", "O", "O", "O", "O", "O", "O", "O", "O", "O", "O", "O", "O", "O", "O", "O", "O", "O"],
  "fractional_positions": [[0.000, 0.000, 0.000], [0.500, 0.500, 0.500], [0.091, 0.850, 0.423], [0.350, 0.591, 0.923], [0.423, 0.091, 0.850], [0.591, 0.923, 0.350], [0.850, 0.423, 0.091], [0.923, 0.350, 0.591], [0.002, 0.139, 0.713], [0.045, 0.877, 0.264], [0.081, 0.410, 0.407], [0.139, 0.713, 0.002], [0.206, 0.975, 0.338], [0.213, 0.639, 0.502], [0.264, 0.045, 0.877], [0.338, 0.206, 0.975], [0.377, 0.545, 0.764], [0.407, 0.081, 0.410], [0.410, 0.407, 0.081], [0.475, 0.706, 0.838], [0.502, 0.213, 0.639], [0.545, 0.764, 0.377], [0.581, 0.907, 0.910], [0.639, 0.502, 0.213], [0.706, 0.838, 0.475], [0.713, 0.002, 0.139], [0.764, 0.377, 0.545], [0.838, 0.475, 0.706], [0.877, 0.264, 0.045], [0.907, 0.910, 0.581], [0.910, 0.581, 0.907], [0.975, 0.338, 0.206]],
  "spacegroup": "R3c, No. 161",
  "raw_formation_energy_mev_per_atom": -777,
  "magmom_total_mub_per_cell": 2.5
}



No. 12
{
  "formula": "DyTh3Tc",
  "functional": "GGA-PBE",
  "state": "relaxed",
  "lattice": [[10.434, 0.000, 0.000], [0.000, 5.456, 0.000], [0.000, 0.000, 10.209]],
  "species": ["Dy", "Dy", "Dy", "Dy", "Th", "Th", "Th", "Th", "Th", "Th", "Th", "Th", "Th", "Th", "Th", "Th", "Tc", "Tc", "Tc", "Tc"],
  "fractional_positions": [[0.209, 0.250, 0.017], [0.291, 0.750, 0.517], [0.709, 0.250, 0.483], [0.791, 0.750, 0.983], [0.049, 0.250, 0.440], [0.094, 0.750, 0.220], [0.147, 0.750, 0.829], [0.353, 0.250, 0.329], [0.406, 0.250, 0.720], [0.451, 0.750, 0.940], [0.549, 0.250, 0.060], [0.594, 0.750, 0.280], [0.647, 0.750, 0.671], [0.853, 0.250, 0.171], [0.906, 0.250, 0.780], [0.951, 0.750, 0.560], [0.156, 0.250, 0.690], [0.344, 0.750, 0.190], [0.656, 0.250, 0.810], [0.844, 0.750, 0.310]],
  "spacegroup": "Pnma, No. 62",
  "final_energy_ev_per_atom": -7.44,
  "magmom_total_mub_per_cell": 0.0
}